A relaxed OsCl2O crystal. Source: the Alexandria database, functional PBEsol.

a b c (Å): 6.266 6.266 6.266
angles (deg): 146.72 145.63 48.59
Element x y z (fractional)
Os (0.000, 0.000, 0.000)
Cl (0.136, 0.636, 0.500)
Cl (0.864, 0.364, 0.500)
O (0.500, 0.000, 0.500)

Values from the calculation:
Offset from the most stable computed form ... 0 meV per atom

A relaxed POsCl2O crystal. Source: the Alexandria database, functional PBEsol.

a b c (Å): 4.310 4.310 3.844
angles (deg): 90.00 90.00 90.00
Element x y z (fractional)
P (0.000, 0.000, 0.000)
Os (0.500, 0.500, 0.000)
Cl (0.000, 0.500, 0.500)
Cl (0.500, 0.000, 0.500)
O (0.000, 0.000, 0.500)

A relaxed PCl3O crystal. Source: the Alexandria database, functional PBEsol.

a b c (Å): 9.388 9.445 5.870
angles (deg): 90.00 90.00 90.00
Element x y z (fractional)
P (0.183, 0.250, 0.120)
P (0.317, 0.750, 0.620)
P (0.683, 0.250, 0.380)
P (0.817, 0.750, 0.880)
Cl (0.020, 0.250, 0.902)
Cl (0.148, 0.083, 0.320)
Cl (0.148, 0.417, 0.320)
Cl (0.352, 0.583, 0.820)
Cl (0.352, 0.917, 0.820)
Cl (0.480, 0.750, 0.402)
Cl (0.520, 0.250, 0.598)
Cl (0.648, 0.083, 0.180)
Cl (0.648, 0.417, 0.180)
Cl (0.852, 0.583, 0.680)
Cl (0.852, 0.917, 0.680)
Cl (0.980, 0.750, 0.098)
O (0.176, 0.750, 0.511)
O (0.324, 0.250, 0.011)
O (0.676, 0.750, 0.989)
O (0.824, 0.250, 0.489)

A relaxed PPbCl2O crystal. Source: the Alexandria database, functional PBEsol.

a b c (Å): 5.584 5.584 3.346
angles (deg): 90.00 90.00 90.00
Element x y z (fractional)
P (0.000, 0.000, 0.000)
Pb (0.500, 0.500, 0.000)
Cl (0.000, 0.500, 0.500)
Cl (0.500, 0.000, 0.500)
O (0.000, 0.000, 0.500)

A relaxed P2PbClO crystal. Source: the Alexandria database, functional PBEsol.

a b c (Å): 3.971 3.971 5.878
angles (deg): 90.00 90.00 90.00
Element x y z (fractional)
P (0.000, 0.500, 0.000)
P (0.500, 0.000, 0.000)
Pb (0.000, 0.000, 0.500)
Cl (0.500, 0.500, 0.500)
O (0.500, 0.500, 0.000)

A relaxed PPdCl2O crystal. Source: the Alexandria database, functional PBEsol.

a b c (Å): 4.780 4.780 4.519
angles (deg): 90.00 90.00 90.00
Element x y z (fractional)
P (0.000, 0.000, 0.000)
Pd (0.000, 0.000, 0.500)
Cl (0.000, 0.500, 0.500)
Cl (0.500, 0.000, 0.500)
O (0.500, 0.500, 0.000)

A relaxed P2PdClO crystal. Source: the Alexandria database, functional PBEsol.

a b c (Å): 3.774 3.774 5.425
angles (deg): 90.00 90.00 90.00
Element x y z (fractional)
P (0.000, 0.500, 0.000)
P (0.500, 0.000, 0.000)
Pd (0.000, 0.000, 0.500)
Cl (0.500, 0.500, 0.500)
O (0.500, 0.500, 0.000)

A relaxed Pr4PClO8 crystal. Source: the Alexandria database, functional PBEsol.

a b c (Å): 13.066 5.763 5.838
angles (deg): 90.00 90.00 90.00
Element x y z (fractional)
Pr (0.160, 0.011, 0.000)
Pr (0.167, 0.494, 0.470)
Pr (0.333, 0.506, 0.970)
Pr (0.340, 0.989, 0.500)
Pr (0.660, 0.989, 0.500)
Pr (0.667, 0.506, 0.970)
Pr (0.833, 0.494, 0.470)
Pr (0.840, 0.011, 0.000)
P (0.000, 0.525, 0.936)
P (0.500, 0.475, 0.436)
Cl (0.000, 0.966, 0.398)
Cl (0.500, 0.034, 0.898)
O (0.000, 0.430, 0.685)
O (0.000, 0.794, 0.922)
O (0.096, 0.435, 0.064)
O (0.233, 0.755, 0.740)
O (0.246, 0.241, 0.732)
O (0.254, 0.759, 0.232)
O (0.267, 0.245, 0.240)
O (0.404, 0.565, 0.564)
O (0.500, 0.206, 0.422)
O (0.500, 0.570, 0.185)
O (0.596, 0.565, 0.564)
O (0.733, 0.245, 0.240)
O (0.746, 0.759, 0.232)
O (0.754, 0.241, 0.732)
O (0.767, 0.755, 0.740)
O (0.904, 0.435, 0.064)

| no. | formation energy from raw total energies (eV per atom) | energy (eV per cell) |
| --- | --- | --- |
| 1 | -0.657 | -24.1 |
| 2 | 1.383 | -20.4 |
| 3 | -1.056 | -89.4 |
| 4 | -0.275 | -20.4 |
| 5 | 0.022 | -22.7 |
| 6 | 0.737 | -17.3 |
| 7 | 0.414 | -22.7 |
| 8 | -3.135 | -228.8 |